Here is crystalline DyAlAg at its relaxed geometry from Alexandria via LeMat-Bulk. Energies are from PBE-GGA.

## Properties
* ρ: 6.80 g/cm3
* V: 72.7 Å³/cell
* energy of formation: -0.1841 eV per atom
* VASP energy: -11.7 eV for the cell shown

The structure in POSCAR format:
```
DyAlAg
1.0
0.000 3.312 3.312
3.312 0.000 3.312
3.312 3.312 0.000
Dy Al Ag
1 1 1
direct
0.000 0.000 0.000
0.500 0.500 0.500
0.750 0.750 0.750
```